[1]
A relaxed NdGa11Pd crystal, computed with GGA-PBE.

## Properties
The calculated formation energy is -0.22 eV per atom.

Cell: 6.641 6.641 8.089 Å, 97.26 97.26 133.45°
Atoms (fractional coordinates):
Nd  0.000  0.000  0.000
Ga  0.000  0.000  0.500
Ga  0.000  0.500  0.000
Ga  0.018  0.374  0.361
Ga  0.277  0.494  0.775
Ga  0.374  0.018  0.361
Ga  0.494  0.277  0.775
Ga  0.500  0.000  0.000
Ga  0.506  0.723  0.225
Ga  0.626  0.982  0.639
Ga  0.723  0.506  0.225
Ga  0.982  0.626  0.639
Pd  0.500  0.500  0.500

[2]
A relaxed NdGaPd3 crystal, computed with GGA-PBE.

## Properties
The calculated formation energy is -0.28 eV per atom.

Cell: 7.812 7.812 5.257 Å, 90.00 90.00 125.95°
Atoms (fractional coordinates):
Nd  0.114  0.886  0.750
Nd  0.886  0.114  0.250
Ga  0.343  0.657  0.750
Ga  0.657  0.343  0.250
Pd  0.116  0.260  0.750
Pd  0.260  0.116  0.250
Pd  0.500  0.500  0.000
Pd  0.500  0.500  0.500
Pd  0.740  0.884  0.750
Pd  0.884  0.740  0.250

[3]
A relaxed Nd2Ga6Pd9 crystal, computed with GGA-PBE.

## Properties
The calculated formation energy is -0.67 eV per atom.

Cell: 5.620 5.620 11.952 Å, 90.00 90.00 120.00°
Atoms (fractional coordinates):
Nd  0.000  0.000  0.194
Nd  0.000  0.000  0.806
Ga  0.333  0.667  0.164
Ga  0.333  0.667  0.500
Ga  0.333  0.667  0.836
Ga  0.667  0.333  0.164
Ga  0.667  0.333  0.500
Ga  0.667  0.333  0.836
Pd  0.000  0.500  0.000
Pd  0.000  0.500  0.332
Pd  0.000  0.500  0.668
Pd  0.500  0.000  0.000
Pd  0.500  0.000  0.332
Pd  0.500  0.000  0.668
Pd  0.500  0.500  0.000
Pd  0.500  0.500  0.332
Pd  0.500  0.500  0.668

[4]
A relaxed Nd2Ga3Pd2 crystal, computed with GGA-PBE.

## Properties
The calculated formation energy is -0.75 eV per atom.

Cell: 10.366 4.454 6.800 Å, 90.00 114.59 90.00°
Atoms (fractional coordinates):
Nd  0.151  0.000  0.272
Nd  0.349  0.500  0.728
Nd  0.651  0.500  0.272
Nd  0.849  0.000  0.728
Ga  0.000  0.500  0.500
Ga  0.115  0.500  0.937
Ga  0.385  0.000  0.063
Ga  0.500  0.000  0.500
Ga  0.615  0.000  0.937
Ga  0.885  0.500  0.063
Pd  0.135  0.000  0.723
Pd  0.365  0.500  0.277
Pd  0.635  0.500  0.723
Pd  0.865  0.000  0.277

[5]
A relaxed NdGa2Pd5 crystal, computed with GGA-PBE.

## Properties
The calculated formation energy is -0.69 eV per atom.

Cell: 3.945 7.166 10.092 Å, 90.00 90.00 90.00°
Atoms (fractional coordinates):
Nd  0.000  0.000  0.000
Nd  0.500  0.500  0.500
Ga  0.000  0.500  0.244
Ga  0.000  0.500  0.756
Ga  0.500  0.000  0.256
Ga  0.500  0.000  0.744
Pd  0.000  0.197  0.358
Pd  0.000  0.197  0.642
Pd  0.000  0.500  0.000
Pd  0.000  0.803  0.358
Pd  0.000  0.803  0.642
Pd  0.500  0.000  0.500
Pd  0.500  0.303  0.142
Pd  0.500  0.303  0.858
Pd  0.500  0.697  0.142
Pd  0.500  0.697  0.858

[6]
A relaxed Nd2GaPd crystal, computed with GGA-PBE.

## Properties
The calculated formation energy is -0.66 eV per atom.

Cell: 6.130 4.543 7.773 Å, 90.00 109.50 90.00°
Atoms (fractional coordinates):
Nd  0.183  0.250  0.411
Nd  0.288  0.750  0.071
Nd  0.712  0.250  0.929
Nd  0.817  0.750  0.589
Ga  0.370  0.750  0.697
Ga  0.630  0.250  0.303
Pd  0.161  0.250  0.791
Pd  0.839  0.750  0.209

[7]
A relaxed Nd5GaPd2 crystal, computed with GGA-PBE.

## Properties
The calculated formation energy is -0.53 eV per atom.

Cell: 8.831 8.831 8.831 Å, 125.90 125.90 80.05°
Atoms (fractional coordinates):
Nd  0.000  0.000  0.000
Nd  0.016  0.516  0.823
Nd  0.194  0.016  0.500
Nd  0.306  0.806  0.823
Nd  0.484  0.306  0.500
Nd  0.500  0.500  0.000
Nd  0.516  0.694  0.500
Nd  0.694  0.194  0.177
Nd  0.806  0.984  0.500
Nd  0.984  0.484  0.177
Ga  0.250  0.250  0.000
Ga  0.750  0.750  0.000
Pd  0.130  0.370  0.500
Pd  0.370  0.870  0.240
Pd  0.630  0.130  0.760
Pd  0.870  0.630  0.500

[8]
A relaxed Nd2Ga9Pd6 crystal, computed with GGA-PBE.

## Properties
The calculated formation energy is -0.56 eV per atom.

Cell: 5.428 5.428 12.776 Å, 90.00 90.00 120.00°
Atoms (fractional coordinates):
Nd  0.000  0.000  0.157
Nd  0.000  0.000  0.843
Ga  0.000  0.500  0.000
Ga  0.000  0.500  0.340
Ga  0.000  0.500  0.660
Ga  0.500  0.000  0.000
Ga  0.500  0.000  0.340
Ga  0.500  0.000  0.660
Ga  0.500  0.500  0.000
Ga  0.500  0.500  0.340
Ga  0.500  0.500  0.660
Pd  0.333  0.667  0.173
Pd  0.333  0.667  0.500
Pd  0.333  0.667  0.827
Pd  0.667  0.333  0.173
Pd  0.667  0.333  0.500
Pd  0.667  0.333  0.827